Record 1
Compound: NaSrTeIr
Source: OQMD
Functional: GGA-PBE
Structure: optimized geometry

a b c (Å): 5.2499 5.2499 5.2499
angles (deg): 60.00 60.00 60.00
With the nearest neighbours (Å) after each atom.
Fractional positions:
Ir 0.0000 0.0000 0.0000  4 Na 3.21, 4 Sr 3.21
Na 0.7500 0.7500 0.7500  4 Te 3.21, 4 Ir 3.21
Sr 0.2500 0.2500 0.2500  4 Te 3.21, 4 Ir 3.21
Te 0.5000 0.5000 0.5000  4 Sr 3.21, 4 Na 3.21

- Space-group type: F-43m (216)
- Density: 6.99 g/cm3
- Energy relative to the lowest polymorph listed for this composition: 0.153 eV/atom

---

Record 2
Compound: TaCoAsPd
Source: OQMD
Functional: GGA-PBE
Structure: optimized geometry

a b c (Å): 4.3959 4.3959 4.3959
angles (deg): 60.00 60.00 60.00
With the nearest neighbours (Å) after each atom.
Fractional positions:
As 0.0000 0.0000 0.0000  4 Pd 2.69, 4 Co 2.69
Co 0.7500 0.7500 0.7500  4 Ta 2.69, 4 As 2.69
Pd 0.2500 0.2500 0.2500  4 As 2.69, 4 Ta 2.69
Ta 0.5000 0.5000 0.5000  4 Pd 2.69, 4 Co 2.69

- Space-group type: F-43m (216)
- Density: 11.64 g/cm3
- Energy relative to the lowest polymorph listed for this composition: 0.116 eV/atom

---

Record 3
Compound: YAlFeCu
Source: OQMD
Functional: GGA-PBE
Structure: optimized geometry

a b c (Å): 4.5839 4.5839 4.5839
angles (deg): 60.00 60.00 60.00
With the nearest neighbours (Å) after each atom.
Fractional positions:
Al 0.0000 0.0000 0.0000  4 Y 2.81, 4 Cu 2.81
Cu 0.7500 0.7500 0.7500  4 Fe 2.81, 4 Al 2.81
Fe 0.5000 0.5000 0.5000  4 Y 2.81, 4 Cu 2.81
Y 0.2500 0.2500 0.2500  4 Fe 2.81, 4 Al 2.81

- Space-group type: F-43m (216)
- Density: 5.74 g/cm3
- Energy relative to the lowest polymorph listed for this composition: 0.244 eV/atom